# 1
# Cs3KF, relaxed, DFT PBE
# offset from the most stable computed form: 0 meV per atom
# E_form (uncorrected): -5.23 eV/f.u.
# raw total energy: -10.76 eV/f.u.
# N(E_F): 0.66 states/eV/atom
data_Cs3KF
_symmetry_space_group_name_H-M 'P 1'
_symmetry_Int_Tables_number 1
_symmetry_space_group_name_Hall 'P 1'
_cell_length_a 8.5106
_cell_length_b 13.5841
_cell_length_c 13.6110
_cell_angle_alpha 97.06
_cell_angle_beta 90.00
_cell_angle_gamma 90.00
loop_
_atom_site_label
_atom_site_fract_x
_atom_site_fract_y
_atom_site_fract_z
Cs1 0.2416 0.7467 0.6182
Cs2 0.7584 0.2533 0.3818
Cs3 0.7416 0.7533 0.8818
Cs4 0.2584 0.2467 0.1182
Cs5 0.6898 0.5966 0.4752
Cs6 0.3102 0.4034 0.5248
Cs7 0.1898 0.9034 0.0248
Cs8 0.8102 0.0966 0.9752
Cs9 0.2461 0.6286 0.2822
Cs10 0.7539 0.3714 0.7178
Cs11 0.7461 0.8714 0.2178
Cs12 0.2539 0.1286 0.7822
K1 0.7493 0.9770 0.5949
K2 0.2507 0.0230 0.4051
K3 0.2493 0.5230 0.9051
K4 0.7507 0.4770 0.0949
F1 0.3537 0.5986 0.4720
F2 0.6463 0.4014 0.5280
F3 0.8537 0.9014 0.0280
F4 0.1463 0.0986 0.9720


# 2
# Ce3NdTl3Se8, relaxed, DFT PBE
# E_form (uncorrected): -21.33 eV/f.u.
# raw total energy: -78.87 eV/f.u.
# N(E_F): 0.78 states/eV/atom
data_Ce3NdTl3Se8
_symmetry_space_group_name_H-M 'P 1'
_symmetry_Int_Tables_number 1
_symmetry_space_group_name_Hall 'P 1'
_cell_length_a 8.6189
_cell_length_b 8.6186
_cell_length_c 9.1775
_cell_angle_alpha 118.01
_cell_angle_beta 90.00
_cell_angle_gamma 120.00
loop_
_atom_site_label
_atom_site_fract_x
_atom_site_fract_y
_atom_site_fract_z
Ce1 0.5000 0.0000 0.5000
Ce2 0.5000 0.5000 0.5000
Ce3 0.0000 0.5000 0.5000
Nd1 0.0000 0.0000 0.5000
Tl1 0.0000 0.0000 0.0000
Tl2 0.0000 0.5000 0.0000
Tl3 0.5000 0.5000 0.0000
Se1 0.2632 0.5264 0.2917
Se2 0.7368 0.4736 0.7083
Se3 0.7628 0.5256 0.2942
Se4 0.2372 0.4744 0.7058
Se5 0.7629 0.0318 0.2945
Se6 0.2371 0.9682 0.7055
Se7 0.2690 0.0318 0.2945
Se8 0.7310 0.9682 0.7055


# 3
# MgTlPt2, relaxed, DFT PBE
# DFT formation energy: -352 meV per atom
# raw total energy: -17.45 eV/f.u.
# N(E_F): 0.34 states/eV/atom
data_MgTlPt2
_symmetry_space_group_name_H-M 'P 1'
_symmetry_Int_Tables_number 1
_symmetry_space_group_name_Hall 'P 1'
_cell_length_a 5.2482
_cell_length_b 5.2482
_cell_length_c 5.2482
_cell_angle_alpha 135.21
_cell_angle_beta 135.17
_cell_angle_gamma 65.23
loop_
_atom_site_label
_atom_site_fract_x
_atom_site_fract_y
_atom_site_fract_z
Mg1 0.2497 0.7497 0.5000
Pt1 0.0005 0.0005 0.0000
Pt2 0.7501 0.2501 0.5000
Tl1 0.4997 0.4997 0.0000


# 4
# Dy12Be3H5, relaxed, DFT PBE
# raw total energy: -85.03 eV/f.u.
# N(E_F): 1.03 states/eV/atom
data_Dy12Be3H5
_symmetry_space_group_name_H-M 'P 1'
_symmetry_Int_Tables_number 1
_symmetry_space_group_name_Hall 'P 1'
_cell_length_a 12.9902
_cell_length_b 12.9902
_cell_length_c 12.9902
_cell_angle_alpha 109.47
_cell_angle_beta 109.47
_cell_angle_gamma 109.47
loop_
_atom_site_label
_atom_site_fract_x
_atom_site_fract_y
_atom_site_fract_z
Be1 0.7500 0.3750 0.1250
Be2 0.8750 0.7500 0.1250
Be3 0.3750 0.7500 0.6250
Be4 0.2500 0.1250 0.3750
Be5 0.8750 0.1250 0.2500
Be6 0.3750 0.6250 0.2500
Be7 0.6250 0.3750 0.7500
Be8 0.1250 0.8750 0.7500
Be9 0.7500 0.8750 0.6250
Be10 0.6250 0.2500 0.3750
Be11 0.1250 0.2500 0.8750
Be12 0.2500 0.6250 0.8750
H1 0.1250 0.3750 0.2500
H2 0.0000 0.5000 0.0000
H3 0.0000 0.0000 0.0000
H4 0.3750 0.2500 0.1250
H5 0.5000 0.0000 0.5000
H6 0.5000 0.5000 0.0000
H7 0.1250 0.7500 0.3750
H8 0.7500 0.1250 0.8750
H9 0.7500 0.6250 0.3750
H10 0.3750 0.1250 0.7500
H11 0.6250 0.8750 0.2500
H12 0.5000 0.5000 0.5000
H13 0.5000 0.0000 0.0000
H14 0.0000 0.0000 0.5000
H15 0.2500 0.3750 0.6250
H16 0.2500 0.8750 0.1250
H17 0.0000 0.5000 0.5000
H18 0.8750 0.2500 0.6250
H19 0.6250 0.7500 0.8750
H20 0.8750 0.6250 0.7500
Dy1 0.7138 0.1177 0.0242
Dy2 0.3104 0.5242 0.4064
Dy3 0.9758 0.3823 0.2862
Dy4 0.5242 0.2138 0.1177
Dy5 0.5961 0.7138 0.6896
Dy6 0.9758 0.5936 0.1896
Dy7 0.3104 0.7862 0.4039
Dy8 0.0936 0.9039 0.1177
Dy9 0.5936 0.9758 0.6896
Dy10 0.7138 0.5961 0.1896
Dy11 0.7862 0.4758 0.3823
Dy12 0.8104 0.9064 0.0242
Dy13 0.1177 0.7138 0.5242
Dy14 0.3823 0.4064 0.0961
Dy15 0.0961 0.9064 0.3823
Dy16 0.4039 0.1177 0.5936
Dy17 0.0961 0.1896 0.2138
Dy18 0.4758 0.6896 0.0936
Dy19 0.8104 0.9039 0.2862
Dy20 0.1177 0.4039 0.0936
Dy21 0.3823 0.9758 0.7862
Dy22 0.5936 0.6177 0.4039
Dy23 0.9064 0.8104 0.5242
Dy24 0.7862 0.3104 0.9039
Dy25 0.4064 0.3823 0.5961
Dy26 0.0936 0.1896 0.4758
Dy27 0.2138 0.6896 0.0961
Dy28 0.1896 0.0961 0.7138
Dy29 0.6177 0.0242 0.2138
Dy30 0.8823 0.5961 0.9064
Dy31 0.5242 0.3104 0.9064
Dy32 0.5961 0.8823 0.4064
Dy33 0.9039 0.8104 0.7862
Dy34 0.9039 0.0936 0.6177
Dy35 0.8823 0.2862 0.4758
Dy36 0.1896 0.0936 0.9758
Dy37 0.6177 0.5936 0.9039
Dy38 0.4064 0.0242 0.3104
Dy39 0.2862 0.4039 0.8104
Dy40 0.2138 0.5242 0.6177
Dy41 0.9064 0.0961 0.8823
Dy42 0.6896 0.2138 0.5961
Dy43 0.4758 0.7862 0.8823
Dy44 0.0242 0.4064 0.8104
Dy45 0.4039 0.2862 0.3104
Dy46 0.0242 0.6177 0.7138
Dy47 0.6896 0.4758 0.5936
Dy48 0.2862 0.8823 0.9758


# 5
# TbNdSm6Er2, relaxed, DFT PBE
# DFT formation energy: 119 meV per atom
# raw total energy: -45.64 eV/f.u.
# N(E_F): 1.48 states/eV/atom
data_TbNdSm6Er2
_symmetry_space_group_name_H-M 'P 1'
_symmetry_Int_Tables_number 1
_symmetry_space_group_name_Hall 'P 1'
_cell_length_a 9.6490
_cell_length_b 8.8816
_cell_length_c 8.8816
_cell_angle_alpha 117.39
_cell_angle_beta 93.93
_cell_angle_gamma 93.93
loop_
_atom_site_label
_atom_site_fract_x
_atom_site_fract_y
_atom_site_fract_z
Tb1 0.2500 0.9705 0.0295
Tb2 0.7500 0.0295 0.9705
Nd1 0.2500 0.4072 0.5928
Nd2 0.7500 0.5928 0.4072
Sm1 0.0551 0.1130 0.7581
Sm2 0.4449 0.2419 0.8870
Sm3 0.9449 0.8870 0.2419
Sm4 0.5551 0.7581 0.1130
Sm5 0.3173 0.9826 0.4347
Sm6 0.1827 0.5653 0.0174
Sm7 0.6827 0.0174 0.5653
Sm8 0.8173 0.4347 0.9826
Sm9 0.1195 0.7059 0.4892
Sm10 0.3805 0.5108 0.2941
Sm11 0.8805 0.2941 0.5108
Sm12 0.6195 0.4892 0.7059
Er1 0.4535 0.8033 0.7048
Er2 0.0465 0.2952 0.1967
Er3 0.5465 0.1967 0.2952
Er4 0.9535 0.7048 0.8033


# 6
# BaNi2Te8Rh, relaxed, DFT PBE
# E_form (uncorrected): -3.49 eV/f.u.
# raw total energy: -49.47 eV/f.u.
# N(E_F): 0.75 states/eV/atom
data_BaNi2Te8Rh
_symmetry_space_group_name_H-M 'P 1'
_symmetry_Int_Tables_number 1
_symmetry_space_group_name_Hall 'P 1'
_cell_length_a 6.4959
_cell_length_b 6.4959
_cell_length_c 9.1901
_cell_angle_alpha 90.00
_cell_angle_beta 90.00
_cell_angle_gamma 120.00
loop_
_atom_site_label
_atom_site_fract_x
_atom_site_fract_y
_atom_site_fract_z
Ba1 0.0000 0.0000 0.0000
Ni1 0.6667 0.3333 0.2348
Ni2 0.3333 0.6667 0.7652
Te1 0.3333 0.6667 0.0287
Te2 0.3496 0.3680 0.3546
Te3 0.6320 0.9816 0.3546
Te4 0.6667 0.3333 0.9713
Te5 0.3680 0.0184 0.6454
Te6 0.6504 0.6320 0.6454
Te7 0.9816 0.3496 0.6454
Te8 0.0184 0.6504 0.3546
Rh1 0.0000 0.0000 0.5000